1.
CdInPd3: relaxed, PBE.

The calculation puts the total energy at -38.33 eV per cell. The formation energy is 13.2 meV/atom.

Cell lengths 6.691, 6.691, 5.131 Å; angles 90.00, 90.00, 120.00 degrees
Positions (direct):
Cd 0.000 0.000 0.000
Cd 0.000 0.000 0.500
In 0.333 0.667 0.250
In 0.667 0.333 0.750
Pd 0.201 0.403 0.750
Pd 0.201 0.799 0.750
Pd 0.403 0.201 0.250
Pd 0.597 0.799 0.750
Pd 0.799 0.201 0.250
Pd 0.799 0.597 0.250

2.
HgPbO3: relaxed, PBE.

The calculation puts the total energy at -43.51 eV per cell. The value obtained for the raw formation energy is -0.57 eV per atom.

Cell lengths 7.765, 7.765, 5.770 Å; angles 90.00, 90.00, 153.87 degrees
Positions (direct):
Hg 0.058 0.942 0.500
Hg 0.942 0.058 0.000
Pb 0.326 0.674 0.481
Pb 0.674 0.326 0.981
O 0.107 0.893 0.144
O 0.238 0.762 0.794
O 0.439 0.561 0.248
O 0.561 0.439 0.748
O 0.762 0.238 0.294
O 0.893 0.107 0.644

3.
CaSn2Pb: relaxed, PBE.

The calculation puts the total energy at -14.94 eV per cell. The formation energy is -305.7 meV/atom.

Cell lengths 5.867, 5.867, 3.546 Å; angles 90.00, 90.00, 109.20 degrees
Positions (direct):
Ca 0.000 0.000 0.000
Sn 0.000 0.500 0.500
Sn 0.500 0.000 0.500
Pb 0.500 0.500 0.000

4.
Pr5PaGe4: relaxed, PBE.

The calculation puts the total energy at -56.76 eV per cell. The formation energy is -489.8 meV/atom.

Cell lengths 9.513, 9.513, 8.350 Å; angles 104.25, 104.25, 25.86 degrees
Positions (direct):
Pr 0.000 0.000 0.000
Pr 0.333 0.333 0.659
Pr 0.334 0.334 0.161
Pr 0.666 0.666 0.839
Pr 0.667 0.667 0.341
Pa 0.000 0.000 0.500
Ge 0.164 0.164 0.593
Ge 0.499 0.499 0.259
Ge 0.501 0.501 0.741
Ge 0.836 0.836 0.407